Record 1
TaTeBr3: optimized geometry, PBE.

Computed properties:
**V**: 37.0 Å³/atom
**Calculated total energy**: -0.1048 Ha/atom

Geometry as CIF:
```
data_TaTeBr3
_space_group_name_H-M_alt 'P m -3 m'
_space_group_IT_number 221
_space_group_name_Hall '-P 4 2 3'
_cell_length_a 5.700
_cell_length_b 5.700
_cell_length_c 5.700
_cell_angle_alpha 90.00
_cell_angle_beta 90.00
_cell_angle_gamma 90.00
loop_
_atom_site_label
_atom_site_type_symbol
_atom_site_fract_x
_atom_site_fract_y
_atom_site_fract_z
_atom_site_occupancy
Ta1 Ta 0.000 0.000 0.000 1
Te1 Te 0.500 0.500 0.500 1
Br1 Br 0.000 0.500 0.500 1
```

=====

Record 2
ErUSe4: optimized geometry, PBE.

Computed properties:
**Excess energy over the best structure of this formula in the dataset**: 0 meV per atom
**V**: 33.2 Å³/atom
**Calculated total energy**: -0.2329 Ha/atom

Geometry as CIF:
```
data_ErUSe4
_space_group_name_H-M_alt 'C 1 2/m 1'
_space_group_IT_number 12
_cell_length_a 13.857
_cell_length_b 4.137
_cell_length_c 7.032
_cell_angle_alpha 90.00
_cell_angle_beta 98.47
_cell_angle_gamma 90.00
loop_
_space_group_symop_operation_xyz
'x,y,z'
'-x,-y,-z'
'-x,y,-z'
'x,-y,z'
'x+1/2,y+1/2,z'
'-x+1/2,-y+1/2,-z'
'-x+1/2,y+1/2,-z'
'x+1/2,-y+1/2,z'
loop_
_atom_site_label
_atom_site_type_symbol
_atom_site_fract_x
_atom_site_fract_y
_atom_site_fract_z
_atom_site_occupancy
Er1 Er 0.000 0.000 0.000 1
U1 U 0.000 0.500 0.500 1
Se1 Se 0.110 0.500 0.854 1
Se2 Se 0.111 0.000 0.376 1
```

=====

Record 3
Zr2Zn2In: optimized geometry, PBE.

Computed properties:
**V**: 21.8 Å³/atom
**Energy of formation**: 117 meV/atom
**Calculated total energy**: -0.1602 Ha/atom

Geometry as CIF:
```
data_Zr2Zn2In
_space_group_name_H-M_alt 'I 4/m m m'
_space_group_IT_number 139
_space_group_name_Hall '-I 4 2'
_cell_length_a 4.366
_cell_length_b 4.366
_cell_length_c 11.438
_cell_angle_alpha 90.00
_cell_angle_beta 90.00
_cell_angle_gamma 90.00
loop_
_atom_site_label
_atom_site_type_symbol
_atom_site_fract_x
_atom_site_fract_y
_atom_site_fract_z
_atom_site_occupancy
Zr1 Zr 0.000 0.500 0.250 1
Zn1 Zn 0.000 0.000 0.101 1
In1 In 0.000 0.000 0.500 1
```

=====

Record 4
Ta2TiPtN: optimized geometry, PBE.

Computed properties:
**V**: 14.6 Å³/atom
**Calculated total energy**: -0.3697 Ha/atom

Geometry as CIF:
```
data_Ta2TiPtN
_space_group_name_H-M_alt 'P 4/m m m'
_space_group_IT_number 123
_space_group_name_Hall '-P 4 2'
_cell_length_a 4.216
_cell_length_b 4.216
_cell_length_c 4.099
_cell_angle_alpha 90.00
_cell_angle_beta 90.00
_cell_angle_gamma 90.00
loop_
_atom_site_label
_atom_site_type_symbol
_atom_site_fract_x
_atom_site_fract_y
_atom_site_fract_z
_atom_site_occupancy
Ta1 Ta 0.000 0.500 0.000 1
Ti1 Ti 0.000 0.000 0.500 1
Pt1 Pt 0.500 0.500 0.500 1
N1 N 0.000 0.000 0.000 1
```

=====

Record 5
CaSi2H: optimized geometry, PBE.

Computed properties:
**Excess energy over the best structure of this formula in the dataset**: 11 meV per atom
**V**: 17.4 Å³/atom
**Calculated total energy**: -0.1587 Ha/atom

Geometry as CIF:
```
data_CaSi2H
_space_group_name_H-M_alt 'C 1 m 1'
_space_group_IT_number 8
_cell_length_a 11.233
_cell_length_b 3.824
_cell_length_c 6.618
_cell_angle_alpha 90.00
_cell_angle_beta 102.20
_cell_angle_gamma 90.00
loop_
_space_group_symop_operation_xyz
'x,y,z'
'x,-y,z'
'x+1/2,y+1/2,z'
'x+1/2,-y+1/2,z'
loop_
_atom_site_label
_atom_site_type_symbol
_atom_site_fract_x
_atom_site_fract_y
_atom_site_fract_z
_atom_site_occupancy
Ca1 Ca 0.000 0.000 0.000 1
Ca2 Ca 0.009 0.500 0.474 1
Si1 Si 0.198 0.500 0.877 1
Si2 Si 0.225 0.000 0.386 1
Si3 Si 0.285 0.000 0.069 1
Si4 Si 0.301 0.500 0.588 1
H1 H 0.065 0.500 0.171 1
H2 H 0.079 0.000 0.374 1
```

=====

Record 6
AcPuAgSb: optimized geometry, PBE.

Computed properties:
**V**: 29.6 Å³/atom
**Calculated total energy**: -0.2484 Ha/atom

Geometry as CIF:
```
data_AcPuAgSb
_space_group_name_H-M_alt 'F -4 3 m'
_space_group_IT_number 216
_space_group_name_Hall 'F -4 2 3'
_cell_length_a 7.794
_cell_length_b 7.794
_cell_length_c 7.794
_cell_angle_alpha 90.00
_cell_angle_beta 90.00
_cell_angle_gamma 90.00
loop_
_atom_site_label
_atom_site_type_symbol
_atom_site_fract_x
_atom_site_fract_y
_atom_site_fract_z
_atom_site_occupancy
Ac1 Ac 0.000 0.000 0.000 1
Pu1 Pu 0.000 0.000 0.500 1
Ag1 Ag 0.250 0.250 0.250 1
Sb1 Sb 0.250 0.250 0.750 1
```

=====

What did the sixth record say?
AcPuAgSb: optimized geometry, PBE.

Computed properties:
**V**: 29.6 Å³/atom
**Calculated total energy**: -0.2484 Ha/atom

Geometry as CIF:
```
data_AcPuAgSb
_space_group_name_H-M_alt 'F -4 3 m'
_space_group_IT_number 216
_space_group_name_Hall 'F -4 2 3'
_cell_length_a 7.794
_cell_length_b 7.794
_cell_length_c 7.794
_cell_angle_alpha 90.00
_cell_angle_beta 90.00
_cell_angle_gamma 90.00
loop_
_atom_site_label
_atom_site_type_symbol
_atom_site_fract_x
_atom_site_fract_y
_atom_site_fract_z
_atom_site_occupancy
Ac1 Ac 0.000 0.000 0.000 1
Pu1 Pu 0.000 0.000 0.500 1
Ag1 Ag 0.250 0.250 0.250 1
Sb1 Sb 0.250 0.250 0.750 1
```